# 1
First-principles (PBE) data for a relaxed structure of Sc5AgTe8, as listed in Alexandria.

Cell and atoms, written as extended XYZ:
```
14
Lattice="7.4446 0.0000 4.2981 2.4815 7.0188 4.2981 0.0000 0.0000 8.5962" Properties=species:S:1:pos:R:3 pbc="T T T"
Te 4.9630 5.9975 8.5962
Te 3.7901 2.6800 10.6277
Te 7.3088 2.6800 8.5962
Te 3.7901 2.6800 6.5647
Te 7.4445 2.8056 12.8943
Te 5.1267 6.0836 12.8943
Te 8.6035 6.0836 14.9016
Te 8.6035 6.0836 10.8870
Sc 6.1486 4.3477 6.5428
Sc 2.5919 4.3477 8.5962
Sc 6.1486 4.3477 10.6497
Sc 0.0000 0.0000 0.0000
Sc 4.9630 0.9944 8.5962
Ag 2.4815 1.7547 4.2981
```

Raw formation energy in eV/atom: -1.052
Calculated total energy in eV/atom: -5.31
Space group: F-43m (216)

***

# 2
First-principles (PBE) data for a relaxed structure of ScAg2Te, as listed in Alexandria.

Cell and atoms, written as extended XYZ:
```
4
Lattice="9.1954 -0.0244 -0.0144 8.5535 3.3753 -0.0144 8.5535 1.6149 2.9640" Properties=species:S:1:pos:R:3 pbc="T T T"
Sc 6.5756 1.2415 0.7338
Ag 26.1650 4.9399 2.9198
Ag 13.2887 2.5089 1.4829
Te 19.7268 3.7244 2.2014
```

Raw formation energy in eV/atom: 0.042
Calculated total energy in eV/atom: -3.75
Space group: R-3m (166)

***

# 3
First-principles (PBE) data for a relaxed structure of ScAg2Te, as listed in Alexandria.

Cell and atoms, written as extended XYZ:
```
8
Lattice="8.1393 0.0000 0.0000 0.0000 8.1393 0.0000 4.0696 4.0696 2.8121" Properties=species:S:1:pos:R:3 pbc="T T T"
Ag 6.2050 2.0348 0.7030
Ag 1.9343 6.1045 0.7030
Ag 10.1741 10.2746 2.1091
Ag 6.1045 6.0039 2.1091
Sc 4.0696 8.1393 1.4060
Sc 4.0696 4.0696 0.0000
Te 8.1393 4.0696 1.4060
Te 0.0000 0.0000 0.0000
```

Raw formation energy in eV/atom: -0.143
Calculated total energy in eV/atom: -3.94
Space group: I-42d (122)

***

# 4
First-principles (PBE) data for a relaxed structure of ScAg2Te, as listed in Alexandria.

Cell and atoms, written as extended XYZ:
```
4
Lattice="4.1986 -0.2531 0.2421 2.2370 3.5621 0.2421 1.9064 0.9802 6.3300" Properties=species:S:1:pos:R:3 pbc="T T T"
Te 6.2494 3.2132 5.0737
Ag 6.4257 3.3039 0.6910
Ag 2.0935 1.0764 1.6606
Sc 4.1802 2.1493 3.2801
```

Raw formation energy in eV/atom: -0.271
Calculated total energy in eV/atom: -4.06
Space group: Cm (8)

***

# 5
First-principles (PBE) data for a relaxed structure of ScAg2Te, as listed in Alexandria.

Cell and atoms, written as extended XYZ:
```
4
Lattice="-1.7421 1.8816 -4.2490 -4.3889 -1.5019 -1.7639 -3.8865 3.0856 0.0616" Properties=species:S:1:pos:R:3 pbc="T T T"
Te -7.5131 2.5990 -4.4635
Sc -5.0087 1.7327 -2.9757
Ag 0.0000 0.0000 0.0000
Ag -2.5044 0.8663 -1.4878
```

Raw formation energy in eV/atom: -0.187
Calculated total energy in eV/atom: -3.98
Space group: F-43m (216)

***

# 6
First-principles (PBE) data for a relaxed structure of Sc6AgTe2, as listed in Alexandria.

Cell and atoms, written as extended XYZ:
```
36
Lattice="3.8622 0.0000 0.0000 0.0000 10.7637 0.0000 0.0000 0.0000 20.4480" Properties=species:S:1:pos:R:3 pbc="T T T"
Sc 0.9656 5.7365 6.8953
Sc 0.9656 7.2878 18.2547
Sc 2.8967 9.5912 10.4069
Sc 0.9656 8.8577 8.0307
Sc 2.8967 4.6964 17.6414
Sc 0.9656 9.4358 0.6015
Sc 0.9656 10.4091 17.1192
Sc 2.8967 3.4759 2.1933
Sc 2.8967 8.1283 15.7286
Sc 0.9656 2.6354 4.7194
Sc 2.8967 8.0172 5.5046
Sc 2.8967 5.0272 13.5527
Sc 0.9656 6.7098 10.8255
Sc 2.8967 1.9059 12.4172
Sc 2.8967 6.5544 0.1830
Sc 0.9656 2.7465 14.9434
Sc 0.9656 4.2093 20.2650
Sc 2.8967 0.6855 7.4174
Sc 2.8967 4.0539 9.6225
Sc 0.9656 10.0782 13.0305
Sc 2.8967 1.3279 19.8464
Sc 0.9656 1.1725 10.0410
Sc 2.8967 0.3546 3.3287
Sc 0.9656 6.0673 2.8065
Ag 0.9656 3.8934 11.7885
Ag 0.9656 1.4884 1.5645
Ag 2.8967 9.2752 18.8835
Ag 2.8967 6.8703 8.6595
Te 0.9656 2.4678 17.8606
Te 0.9656 5.8074 15.6571
Te 2.8967 7.8496 12.8113
Te 2.8967 8.2959 2.5873
Te 0.9656 10.3381 5.4331
Te 2.8967 4.9563 4.7909
Te 0.9656 2.9141 7.6367
Te 2.8967 0.4256 15.0148
```

Raw formation energy in eV/atom: -0.598
Calculated total energy in eV/atom: -5.83
Space group: Pnma (62)